Crystalline KMoAs at its relaxed geometry, computed with PBE-GGA.

Geometry as POSCAR:
```
KMoAs
1.0
-1.724 1.724 6.305
1.724 -1.724 6.305
1.724 1.724 -6.305
K Mo As
1 1 1
direct
0.000 0.000 0.000
0.724 0.724 0.000
0.274 0.274 0.000
```

energy above the most stable polymorph in this dataset: 0.564 eV/atom
ΔE_f: 6.67 kcal/mol of atoms
M_tot: 0.000 μB per atom
total energy: -5.2369 eV per atom
crystal system: tetragonal
N(E_F): 2.4 states/eV per cell